(1)
A relaxed structure of AlV3H2, computed with PBE.

D(E_F): 6.42 states/eV per cell
Theoretical density: 4973 kg/m3
Calculated volume: 10.12 A^3/atom
Distance to the lowest polymorph of the same formula: 0 meV/atom

Lattice parameters (Å, degrees): 4.5469 5.3879 5.3879 113.09 90.00 90.00
Fractional coordinates of all 12 atoms:
Al 0.7500 0.3513 0.6487
Al 0.2500 0.6487 0.3513
V 0.2500 0.1302 0.8698
V 0.2500 0.5887 0.8457
V 0.7500 0.8457 0.5887
V 0.2500 0.1543 0.4113
V 0.7500 0.4113 0.1543
V 0.7500 0.8698 0.1302
H 0.0000 0.8456 0.8456
H 0.5000 0.8456 0.8456
H 0.0000 0.1544 0.1544
H 0.5000 0.1544 0.1544



(2)
A relaxed structure of AlV3H, computed with PBE.

Calculated total energy: -132.76 eV/cell
D(E_F): 20.46 states/eV per cell
Theoretical density: 4490 kg/m3
Calculated volume: 13.37 A^3/atom

Lattice parameters (Å, degrees): 7.2323 7.2323 7.2323 60.00 60.00 60.00
Fractional coordinates of all 20 atoms:
H 0.1250 0.1250 0.1250
H 0.1250 0.6250 0.1250
H 0.6250 0.1250 0.1250
H 0.1250 0.1250 0.6250
Al 0.6250 0.6250 0.6250
Al 0.6250 0.1250 0.6250
Al 0.1250 0.6250 0.6250
Al 0.6250 0.6250 0.1250
V 0.8197 0.1803 0.1803
V 0.0697 0.4303 0.4303
V 0.4303 0.4303 0.0697
V 0.4303 0.0697 0.0697
V 0.0697 0.4303 0.0697
V 0.8197 0.1803 0.8197
V 0.4303 0.0697 0.4303
V 0.0697 0.0697 0.4303
V 0.1803 0.8197 0.1803
V 0.1803 0.8197 0.8197
V 0.1803 0.1803 0.8197
V 0.8197 0.8197 0.1803